No. 1
! ScTa3C PBE relaxed; values from VASP
! Space group: Pm-3m
! Offset from the most stable computed form in meV per atom: 3298
! Energy of formation in eV per atom: 3.18
! Size of the total moment in μB/f.u.: 0.0
&SYSTEM
  ibrav = 0, nat = 5, ntyp = 3
/
ATOMIC_SPECIES
Sc 44.96 Sc.upf
Ta 180.95 Ta.upf
C 12.01 C.upf
CELL_PARAMETERS angstrom
4.707 0.000 0.000
0.000 4.707 0.000
0.000 0.000 4.707
ATOMIC_POSITIONS angstrom
Sc 0.000 0.000 0.000
Ta 0.000 0.000 2.354
Ta 0.000 2.354 0.000
Ta 2.354 0.000 0.000
C 2.354 2.354 2.354

No. 2
! ScTa2C2 PBE relaxed; values from VASP
! Space group: C2/c
! Energy of formation in eV per atom: -0.57
! Size of the total moment in μB/f.u.: 0.0
&SYSTEM
  ibrav = 0, nat = 10, ntyp = 3
/
ATOMIC_SPECIES
Sc 44.96 Sc.upf
Ta 180.95 Ta.upf
C 12.01 C.upf
CELL_PARAMETERS angstrom
2.778 -4.752 0.000
2.778 4.752 0.000
-1.937 0.000 5.198
ATOMIC_POSITIONS angstrom
Sc 1.325 3.975 3.899
Sc 2.294 -3.975 1.300
Ta 2.294 2.433 1.300
Ta 1.325 0.590 3.899
Ta 2.294 -0.590 1.300
Ta 1.325 -2.433 3.899
C -0.490 0.827 5.188
C 0.479 -0.827 2.589
C 3.140 0.827 2.609
C 4.109 -0.827 0.010

No. 3
! Sc2TaC PBE relaxed; values from VASP
! Space group: R-3m
! Energy of formation in eV per atom: 0.11
! Size of the total moment in μB/f.u.: 0.8
&SYSTEM
  ibrav = 0, nat = 4, ntyp = 3
/
ATOMIC_SPECIES
Sc 44.96 Sc.upf
Ta 180.95 Ta.upf
C 12.01 C.upf
CELL_PARAMETERS angstrom
1.578 0.911 8.430
-1.578 0.911 8.430
0.000 -1.823 8.430
ATOMIC_POSITIONS angstrom
Sc 0.000 0.000 2.954
Sc 0.000 0.000 22.336
Ta 0.000 0.000 0.000
C 0.000 0.000 12.645

No. 4
! ScTa5C5 PBE relaxed; values from VASP
! Space group: C2/m
! Energy of formation in eV per atom: -0.64
! Size of the total moment in μB/f.u.: 0.0
&SYSTEM
  ibrav = 0, nat = 11, ntyp = 3
/
ATOMIC_SPECIES
Sc 44.96 Sc.upf
Ta 180.95 Ta.upf
C 12.01 C.upf
CELL_PARAMETERS angstrom
4.988 -2.253 0.000
4.988 2.253 0.000
-2.011 0.000 5.976
ATOMIC_POSITIONS angstrom
Sc 0.000 0.000 0.000
Ta -1.005 0.000 2.988
Ta 2.968 0.000 0.961
Ta 1.947 0.000 4.002
Ta 6.018 0.000 1.974
Ta 4.997 0.000 5.015
C 0.997 0.000 2.023
C 0.032 0.000 4.971
C 4.988 0.000 0.000
C 7.933 0.000 1.006
C 6.968 0.000 3.954

No. 5
! ScTaC2 PBE relaxed; values from VASP
! Space group: R-3m
! Offset from the most stable computed form in meV per atom: 0
! Energy of formation in eV per atom: -0.68
! Size of the total moment in μB/f.u.: 0.0
&SYSTEM
  ibrav = 0, nat = 4, ntyp = 3
/
ATOMIC_SPECIES
Sc 44.96 Sc.upf
Ta 180.95 Ta.upf
C 12.01 C.upf
CELL_PARAMETERS angstrom
1.602 0.925 5.307
-1.602 0.925 5.307
0.000 -1.850 5.307
ATOMIC_POSITIONS angstrom
Sc 0.000 0.000 0.000
Ta 0.000 0.000 7.960
C 0.000 0.000 3.899
C 0.000 0.000 12.021

No. 6
! ScTaC PBE relaxed; values from VASP
! Space group: P3m1
! Offset from the most stable computed form in meV per atom: 118
! Energy of formation in eV per atom: -0.44
! Size of the total moment in μB/f.u.: 0.3
&SYSTEM
  ibrav = 0, nat = 3, ntyp = 3
/
ATOMIC_SPECIES
Sc 44.96 Sc.upf
Ta 180.95 Ta.upf
C 12.01 C.upf
CELL_PARAMETERS angstrom
3.191 0.000 0.000
-1.595 2.763 0.000
0.000 0.000 5.231
ATOMIC_POSITIONS angstrom
Sc 0.000 0.000 0.000
Ta 0.000 1.842 2.726
C 1.595 0.921 3.855

No. 7
! ScTaC3 PBE relaxed; values from VASP
! Space group: Pm-3m
! Offset from the most stable computed form in meV per atom: 0
! Energy of formation in eV per atom: 1.05
! Size of the total moment in μB/f.u.: 0.0
&SYSTEM
  ibrav = 0, nat = 5, ntyp = 3
/
ATOMIC_SPECIES
Sc 44.96 Sc.upf
Ta 180.95 Ta.upf
C 12.01 C.upf
CELL_PARAMETERS angstrom
4.125 0.000 0.000
0.000 4.125 0.000
0.000 0.000 4.125
ATOMIC_POSITIONS angstrom
Sc 0.000 0.000 0.000
Ta 2.062 2.062 2.062
C 0.000 2.062 2.062
C 2.062 0.000 2.062
C 2.062 2.062 0.000

No. 8
! ScTaC2 PBE relaxed; values from VASP
! Space group: R3m
! Offset from the most stable computed form in meV per atom: 281
! Energy of formation in eV per atom: -0.40
! Size of the total moment in μB/f.u.: 0.0
&SYSTEM
  ibrav = 0, nat = 4, ntyp = 3
/
ATOMIC_SPECIES
Sc 44.96 Sc.upf
Ta 180.95 Ta.upf
C 12.01 C.upf
CELL_PARAMETERS angstrom
1.595 0.921 5.524
-1.595 0.921 5.524
0.000 -1.842 5.524
ATOMIC_POSITIONS angstrom
Sc 0.000 0.000 0.000
Ta 0.000 0.000 2.888
C 0.000 0.000 9.633
C 0.000 0.000 12.626